Crystalline KLiHgSe at its relaxed geometry. Source: Alexandria, functional PBE-GGA.

a b c (Å): 4.454 4.454 11.214
angles (deg): 90.00 90.00 90.00
Sites, in units of the cell vectors:
K  0.750  0.750  0.226
K  0.250  0.250  0.774
Se  0.250  0.250  0.127
Se  0.750  0.750  0.873
Li  0.750  0.250  0.000
Li  0.250  0.750  0.000
Hg  0.750  0.250  0.500
Hg  0.250  0.750  0.500

Results
uncorrected formation energy: -0.864 eV/atom

Crystalline KLi2SiHg at its relaxed geometry. Source: Alexandria, functional PBE-GGA.

a b c (Å): 5.098 5.098 5.118
angles (deg): 90.00 90.00 90.00
Sites, in units of the cell vectors:
Li  0.500  0.000  0.000
Li  0.000  0.500  0.000
Si  0.000  0.000  0.000
K  0.500  0.500  0.500
Hg  0.000  0.000  0.500

Results
uncorrected formation energy: -0.062 eV/atom

Crystalline KLi2SnHg at its relaxed geometry. Source: Alexandria, functional PBE-GGA.

a b c (Å): 5.342 5.342 5.824
angles (deg): 90.00 90.00 90.00
Sites, in units of the cell vectors:
Sn  0.000  0.000  0.000
Li  0.500  0.000  0.000
Li  0.000  0.500  0.000
Hg  0.000  0.000  0.500
K  0.500  0.500  0.500

Crystalline KSr2LiHg at its relaxed geometry. Source: Alexandria, functional PBE-GGA.

a b c (Å): 6.436 6.436 5.487
angles (deg): 90.00 90.00 90.00
Sites, in units of the cell vectors:
Sr  0.500  0.000  0.000
Sr  0.000  0.500  0.000
Hg  0.000  0.000  0.000
K  0.500  0.500  0.500
Li  0.000  0.000  0.500

Crystalline KLiHgTe at its relaxed geometry. Source: Alexandria, functional PBE-GGA.

a b c (Å): 5.535 5.535 5.535
angles (deg): 60.00 60.00 60.00
Sites, in units of the cell vectors:
K  0.750  0.750  0.750
Te  0.000  0.000  0.000
Li  0.250  0.250  0.250
Hg  0.500  0.500  0.500

Results
uncorrected formation energy: -0.620 eV/atom

Crystalline K2LiHgTe at its relaxed geometry. Source: Alexandria, functional PBE-GGA.

a b c (Å): 6.800 6.800 5.149
angles (deg): 90.00 90.00 90.00
Sites, in units of the cell vectors:
K  0.000  0.500  0.000
K  0.500  0.000  0.000
Te  0.000  0.000  0.000
Hg  0.500  0.500  0.500
Li  0.000  0.000  0.500

Results
uncorrected formation energy: -0.519 eV/atom

Crystalline KLiHgTe at its relaxed geometry. Source: Alexandria, functional PBE-GGA.

a b c (Å): 4.800 4.800 10.806
angles (deg): 90.00 90.00 90.00
Sites, in units of the cell vectors:
K  0.250  0.250  0.764
K  0.750  0.750  0.236
Hg  0.250  0.750  0.500
Hg  0.750  0.250  0.500
Li  0.250  0.750  0.000
Li  0.750  0.250  0.000
Te  0.250  0.250  0.145
Te  0.750  0.750  0.855

Results
uncorrected formation energy: -0.767 eV/atom

Crystalline KLiHg2Te at its relaxed geometry. Source: Alexandria, functional PBE-GGA.

a b c (Å): 5.409 5.409 5.441
angles (deg): 90.00 90.00 90.00
Sites, in units of the cell vectors:
K  0.500  0.500  0.500
Hg  0.500  0.000  0.000
Hg  0.000  0.500  0.000
Li  0.000  0.000  0.000
Te  0.000  0.000  0.500

Results
uncorrected formation energy: -0.489 eV/atom

Crystalline KLi2TiHg at its relaxed geometry. Source: Alexandria, functional PBE-GGA.

a b c (Å): 5.494 6.632 5.494
angles (deg): 90.00 90.00 90.00
Sites, in units of the cell vectors:
Li  0.000  0.000  0.500
Li  0.500  0.000  0.000
Hg  0.500  0.500  0.500
Ti  0.000  0.000  0.000
K  0.000  0.500  0.000

Crystalline K2LiTiHg at its relaxed geometry. Source: Alexandria, functional PBE-GGA.

a b c (Å): 6.715 5.362 6.715
angles (deg): 90.00 90.00 90.00
Sites, in units of the cell vectors:
K  0.500  0.000  0.000
K  0.000  0.000  0.500
Hg  0.000  0.500  0.000
Li  0.500  0.500  0.500
Ti  0.000  0.000  0.000

Crystalline KLiTlHg at its relaxed geometry. Source: Alexandria, functional PBE-GGA.

a b c (Å): 3.574 3.574 8.609
angles (deg): 90.00 90.00 90.00
Sites, in units of the cell vectors:
Hg  0.500  0.500  0.387
Li  0.000  0.000  0.552
Tl  0.500  0.500  0.763
K  0.000  0.000  0.083

Crystalline KLiTlHg2 at its relaxed geometry. Source: Alexandria, functional PBE-GGA.

a b c (Å): 6.160 6.252 7.414
angles (deg): 90.00 90.00 90.00
Sites, in units of the cell vectors:
Li  0.000  0.500  0.000
Li  0.000  0.000  0.000
K  0.299  0.250  0.500
K  0.701  0.750  0.500
Tl  0.417  0.250  0.000
Tl  0.583  0.750  0.000
Hg  0.816  0.250  0.717
Hg  0.816  0.250  0.283
Hg  0.184  0.750  0.283
Hg  0.184  0.750  0.717

Crystalline K2LiTlHg6 at its relaxed geometry. Source: Alexandria, functional PBE-GGA.

a b c (Å): 7.861 7.861 7.874
angles (deg): 59.96 59.96 89.95
Sites, in units of the cell vectors:
K  0.250  0.750  0.500
K  0.750  0.250  0.500
Hg  0.269  0.269  0.462
Hg  0.732  0.732  0.000
Hg  0.269  0.731  0.000
Hg  0.731  0.731  0.538
Hg  0.731  0.269  0.000
Hg  0.268  0.268  0.000
Tl  0.000  0.000  0.000
Li  0.500  0.500  0.000

Crystalline KLiTl2Hg at its relaxed geometry. Source: Alexandria, functional PBE-GGA.

a b c (Å): 5.324 5.324 5.295
angles (deg): 90.00 90.00 90.00
Sites, in units of the cell vectors:
Tl  0.500  0.000  0.000
Tl  0.000  0.500  0.000
Hg  0.000  0.000  0.500
Li  0.000  0.000  0.000
K  0.500  0.500  0.500

Number 1: total energy -20.51 eV/cell. Number 2: total energy -10.96 eV/cell. Number 3: total energy -9.97 eV/cell. Number 4: total energy -7.12 eV/cell. Number 5: total energy -8.93 eV/cell. Number 6: total energy -10.15 eV/cell. Number 7: total energy -19.04 eV/cell. Number 8: total energy -9.20 eV/cell. Number 9: total energy -8.56 eV/cell. Number 10: total energy -8.73 eV/cell. Number 11: total energy -6.42 eV/cell. Number 12: total energy -13.78 eV/cell. Number 13: total energy -9.57 eV/cell. Number 14: total energy -8.47 eV/cell.